Entry 1:
Entry from the Alexandria database: an optimized crystal structure of YPaCuRe (PBE).

The structure in CIF format:
```
data_YPaCuRe
_chemical_formula_sum 'Y4 Pa4 Cu4 Re4'
_cell_length_a 6.913
_cell_length_b 6.913
_cell_length_c 6.913
_cell_angle_alpha 90.00
_cell_angle_beta 90.00
_cell_angle_gamma 90.00
_space_group_name_H-M_alt 'F -4 3 m'
_space_group_IT_number 216
_space_group_name_Hall 'F -4 2 3'
loop_
_atom_site_label
_atom_site_type_symbol
_atom_site_fract_x
_atom_site_fract_y
_atom_site_fract_z
_atom_site_occupancy
Y1 Y 0.000 0.000 0.000 1
Pa1 Pa 0.000 0.000 0.500 1
Cu1 Cu 0.250 0.250 0.250 1
Re1 Re 0.250 0.250 0.750 1
```

Computed properties:
energy of formation: 41 meV/atom
calculated total energy: -32.34 eV per formula unit

Entry 2:
Entry from the Alexandria database: an optimized crystal structure of Pr3NdPu2S6 (PBE).

The structure in CIF format:
```
data_Pr3NdPu2S6
_chemical_formula_sum 'Pr6 Nd2 Pu4 S12'
_cell_length_a 7.005
_cell_length_b 12.132
_cell_length_c 7.039
_cell_angle_alpha 90.00
_cell_angle_beta 109.33
_cell_angle_gamma 90.00
_space_group_name_H-M_alt 'C 1 2/m 1'
_space_group_IT_number 12
_space_group_name_Hall '-C 2y'
loop_
_atom_site_label
_atom_site_type_symbol
_atom_site_fract_x
_atom_site_fract_y
_atom_site_fract_z
_atom_site_occupancy
Pr1 Pr 0.000 0.000 0.000 1
Pr2 Pr 0.000 0.335 0.000 1
Nd1 Nd 0.000 0.500 0.500 1
Pu1 Pu 0.000 0.167 0.500 1
S1 S 0.240 0.000 0.739 1
S2 S 0.250 0.170 0.259 1
```

Computed properties:
calculated total energy: -95.94 eV per formula unit
energy relative to the elements, uncorrected: -44.975 kcal/mol of atoms

Entry 3:
Entry from the Alexandria database: an optimized crystal structure of AlFeAg2 (PBE).

The structure in CIF format:
```
data_AlFeAg2
_chemical_formula_sum 'Al1 Fe1 Ag2'
_cell_length_a 3.898
_cell_length_b 3.898
_cell_length_c 4.109
_cell_angle_alpha 90.00
_cell_angle_beta 90.00
_cell_angle_gamma 90.00
_space_group_name_H-M_alt 'P 4/m m m'
_space_group_IT_number 123
_space_group_name_Hall '-P 4 2'
loop_
_atom_site_label
_atom_site_type_symbol
_atom_site_fract_x
_atom_site_fract_y
_atom_site_fract_z
_atom_site_occupancy
Al1 Al 0.000 0.000 0.000 1
Fe1 Fe 0.500 0.500 0.000 1
Ag1 Ag 0.000 0.500 0.500 1
```

Computed properties:
energy of formation: 140 meV/atom
calculated total energy: -17.35 eV per formula unit